Below is a relaxed structure of Ta2TiBe9, with properties calculated at the PBE-GGA level.

Cell and atoms, written as POSCAR:
```
Ta2TiBe9
1.0
4.549 0.000 0.000
2.274 3.939 0.000
2.274 1.313 7.029
Ta Ti Be
2 1 9
Cartesian
6.823 3.939 2.981 Ta
2.274 1.313 4.047 Ta
0.000 0.000 0.000 Ti
4.549 2.626 0.035 Be
4.549 2.626 6.994 Be
4.549 2.626 3.514 Be
3.389 1.957 1.726 Be
5.708 1.957 1.726 Be
4.549 3.965 1.726 Be
5.708 3.296 5.303 Be
4.549 1.287 5.303 Be
3.389 3.296 5.303 Be
```

Properties
Uncorrected energy = -5.6553 eV per atom
Spin magnetization = 0.00 μB per cell
Energy of formation = -227 meV/atom

Below is a relaxed structure of Na2UIO6, with properties calculated at the PBE-GGA level.

Cell and atoms, written as POSCAR:
```
Na2UIO6
1.0
4.389 0.000 0.000
0.000 5.935 0.000
0.000 0.000 5.935
Na U I O
2 1 1 6
Cartesian
0.996 2.967 0.000 Na
0.996 0.000 2.967 Na
2.770 0.000 0.000 U
2.722 2.967 2.967 I
2.648 1.508 1.508 O
2.648 1.508 4.427 O
0.892 2.967 2.967 O
0.549 0.000 0.000 O
2.648 4.427 4.427 O
2.648 4.427 1.508 O
```

Properties
Uncorrected energy = -6.2971 eV per atom
Spin magnetization = 1.00 μB per cell
Formation energy from raw total energies = -17.74 eV/f.u.

Below is a relaxed structure of PmMoN2, with properties calculated at the PBE-GGA level.

Cell and atoms, written as POSCAR:
```
PmMoN2
1.0
3.289 0.000 0.000
1.644 2.848 0.000
1.644 0.949 5.416
Mo N Pm
1 2 1
Cartesian
0.000 0.000 0.000 Mo
4.933 2.848 4.266 N
1.644 0.949 1.150 N
3.289 1.899 2.708 Pm
```

Properties
Uncorrected energy = -8.8180 eV per atom
Spin magnetization = 0.00 μB per cell
Formation energy from raw total energies = -3.04 eV/f.u.